Material: Y2Zr
Method: DFT, PBEsol
State: relaxed

Structure (CIF):
```
data_Y2Zr
_cell_length_a 6.050
_cell_length_b 6.050
_cell_length_c 6.050
_cell_angle_alpha 105.50
_cell_angle_beta 105.50
_cell_angle_gamma 117.74
_space_group_name_H-M_alt 'P 1'
_space_group_IT_number 1
_space_group_name_Hall 'P 1'
loop_
_atom_site_label
_atom_site_type_symbol
_atom_site_fract_x
_atom_site_fract_y
_atom_site_fract_z
Y1 Y 0.161 0.661 0.821
Y2 Y 0.661 0.839 0.500
Y3 Y 0.339 0.161 0.500
Y4 Y 0.839 0.339 0.179
Zr1 Zr 0.750 0.750 0.000
Zr2 Zr 0.250 0.250 0.000
```

Properties
ΔE to the lowest computed polymorph   34 kJ/mol of formula units
Formation energy from the elements   0.61 eV per formula unit
Density   5.3 Mg/m³